Record 1
4
Lattice="-2.773 -0.204 2.512 -2.122 -1.826 -2.491 3.983 -2.673 1.385" Properties=species:S:1:pos:R:3 comment="Li2TcAu, single point on PBEsol structure, DFT meta-GGA SCAN" final_energy_ev_per_atom=-27.103 delta_e_f_ev_per_atom=0.146 relative_energy_mev_per_atom=199.9 pbc="T T T"
Li -0.294 -2.757 -0.548
Au 0.000 0.000 0.000
Tc -2.448 -1.015 0.011
Li -0.619 -1.945 1.954



Record 2
5
Lattice="4.078 0.000 0.000 0.000 4.078 0.000 0.000 0.000 4.078" Properties=species:S:1:pos:R:3 comment="LiTc3Au, single point on PBEsol structure, DFT meta-GGA SCAN" final_energy_ev_per_atom=-34.229 delta_e_f_ev_per_atom=1.116 pbc="T T T"
Tc 0.000 0.000 2.039
Tc 0.000 2.039 0.000
Tc 2.039 0.000 0.000
Li 0.000 0.000 0.000
Au 2.039 2.039 2.039



Record 3
4
Lattice="-2.214 0.974 3.290 -3.633 -1.382 -2.036 2.922 -3.893 0.584" Properties=species:S:1:pos:R:3 comment="LiTeAu2, single point on PBEsol structure, DFT meta-GGA SCAN" final_energy_ev_per_atom=-44.763 formation_energy_uncorrected_ev_per_atom=-0.274 pbc="T T T"
Li 0.106 -3.984 1.251
Au -0.103 -0.100 -0.040
Te -1.773 -2.701 -0.393
Au -1.159 -1.613 2.233



no.,spin magnetization (μB/atom),DOS at the Fermi energy (states/eV/cell)
1,0.546,3.21
2,0.000,3.56
3,0.000,1.31